Entry 1:
{"formula": "NdPaCO", "functional": "PBE-GGA", "state": "optimized geometry", "vol_a3_per_cell": 149.19, "space_group": "P4/nmm (129)", "e_form_raw_mev_per_atom": -1251, "lattice_angstrom": [[4.112, 0.000, 0.000], [0.000, 4.112, 0.000], [0.000, 0.000, 8.824]], "species": ["Nd", "Nd", "Pa", "Pa", "C", "C", "O", "O"], "fractional_positions": [[0.250, 0.250, 0.128], [0.750, 0.750, 0.872], [0.250, 0.750, 0.500], [0.750, 0.250, 0.500], [0.250, 0.250, 0.649], [0.750, 0.750, 0.351], [0.250, 0.750, 0.000], [0.750, 0.250, 0.000]]}

=====

Entry 2:
{"formula": "Nd6Pb2CO", "functional": "PBE-GGA", "state": "optimized geometry", "vol_a3_per_cell": 260.20, "space_group": "Fm-3m (225)", "e_form_raw_mev_per_atom": -924, "lattice_angstrom": [[0.000, 5.067, 5.067], [5.067, 0.000, 5.067], [5.067, 5.067, 0.000]], "species": ["Nd", "Nd", "Nd", "Nd", "Nd", "Nd", "Pb", "Pb", "C", "O"], "fractional_positions": [[0.248, 0.248, 0.752], [0.248, 0.752, 0.248], [0.248, 0.752, 0.752], [0.752, 0.248, 0.248], [0.752, 0.248, 0.752], [0.752, 0.752, 0.248], [0.250, 0.250, 0.250], [0.750, 0.750, 0.750], [0.000, 0.000, 0.000], [0.500, 0.500, 0.500]]}

=====

Entry 3:
{"formula": "Rb2NdC2O6", "functional": "PBE-GGA", "state": "optimized geometry", "vol_a3_per_cell": 210.86, "space_group": "P-3m1 (164)", "e_form_raw_mev_per_atom": -1845, "lattice_angstrom": [[5.801, 0.000, 0.000], [-2.900, 5.024, 0.000], [0.000, 0.000, 7.235]], "species": ["Rb", "Rb", "Nd", "C", "C", "O", "O", "O", "O", "O", "O"], "fractional_positions": [[0.333, 0.667, 0.316], [0.667, 0.333, 0.684], [0.000, 0.000, 0.000], [0.333, 0.667, 0.840], [0.667, 0.333, 0.160], [0.204, 0.407, 0.833], [0.204, 0.796, 0.833], [0.407, 0.204, 0.167], [0.593, 0.796, 0.833], [0.796, 0.204, 0.167], [0.796, 0.593, 0.167]]}